Record 1
The following is a DFT calculation (GGA-PBE) of an optimized crystal structure of CoCuReP2.

The structure in extended XYZ format:
```
5
Lattice="4.503 0.000 0.000 0.000 4.831 0.000 0.000 0.000 4.503" Properties=species:S:1:pos:R:3 pbc="T T T"
Re 0.000 0.000 0.000
Co 2.252 2.415 2.252
Cu 0.000 2.415 0.000
P 0.000 0.000 2.252
P 2.252 0.000 0.000
```

Values from the calculation:
* VASP energy: -5.85 eV/atom
* DOS(E_F): 7.59 states/eV/f.u.
* E_form: 1.04 eV per atom

=====

Record 2
The following is a DFT calculation (GGA-PBE) of an optimized crystal structure of Co2CuPRh.

The structure in extended XYZ format:
```
5
Lattice="4.094 0.000 0.000 0.000 4.248 0.000 0.000 0.000 4.094" Properties=species:S:1:pos:R:3 pbc="T T T"
Co 0.000 0.000 2.047
Co 2.047 0.000 0.000
Rh 2.047 2.124 2.047
Cu 0.000 2.124 0.000
P 0.000 0.000 0.000
```

Values from the calculation:
* VASP energy: -5.79 eV/atom
* DOS(E_F): 4.62 states/eV/f.u.
* E_form: 0.42 eV per atom

=====

Record 3
The following is a DFT calculation (GGA-PBE) of an optimized crystal structure of CoCuP2S.

The structure in extended XYZ format:
```
5
Lattice="4.153 0.000 0.000 0.000 4.153 0.000 0.000 0.000 5.008" Properties=species:S:1:pos:R:3 pbc="T T T"
P 0.000 2.076 0.000
P 2.076 0.000 0.000
S 0.000 0.000 2.504
Co 0.000 0.000 0.000
Cu 2.076 2.076 2.504
```

Values from the calculation:
* VASP energy: -4.61 eV/atom
* DOS(E_F): 3.10 states/eV/f.u.
* energy above the lowest structure with this stoichiometry: 0 meV/atom

=====

Record 4
The following is a DFT calculation (GGA-PBE) of an optimized crystal structure of CoCuP2S.

The structure in extended XYZ format:
```
5
Lattice="-3.931 0.456 1.917 -1.949 -1.528 -3.634 0.305 -4.319 1.653" Properties=species:S:1:pos:R:3 pbc="T T T"
P -0.975 -0.764 -1.817
P -1.966 0.228 0.959
S 0.152 -2.160 0.826
Co -2.788 -2.695 -0.032
Cu 0.000 0.000 0.000
```

Values from the calculation:
* VASP energy: -4.11 eV/atom
* DOS(E_F): 5.39 states/eV/f.u.
* energy above the lowest structure with this stoichiometry: 504 meV/atom

=====

> The lowest VASP energy belongs to which entry?

CoCuReP2